This record from the Alexandria database describes an optimized crystal structure of Tm2SeN. The functional is GGA-PBE.

Cell: 3.6016 3.6016 12.8699 Å, 90.00 90.00 120.00°
Atoms (fractional coordinates):
Se1 0.3333 0.6667 0.7500
Tm1 0.6667 0.3333 0.9017
N1 0.0000 0.0000 0.0000
Tm2 0.3333 0.6667 0.0983
N2 0.0000 0.0000 0.5000
Se2 0.6667 0.3333 0.2500
Tm3 0.6667 0.3333 0.5983
Tm4 0.3333 0.6667 0.4017

Computed properties:
formation energy (no corrections): -1.724 eV/atom
symmetry: P6_3/mmc, No. 194

---

This record from the Alexandria database describes an optimized crystal structure of RbNpTlO6. The functional is GGA-PBE.

Cell: 5.7072 5.7072 12.7257 Å, 90.00 90.00 120.00°
Each line ends with the local moment (μB).
Atoms (fractional coordinates):
O1 0.6384 0.0372 0.3443  0.14
O2 0.6384 0.6012 0.1557  0.14
Tl1 0.6667 0.3333 0.7500  0.01
O3 0.6012 0.6384 0.6557  0.14
Rb1 0.0000 0.0000 0.0000  0.00
O4 0.0372 0.6384 0.8443  0.14
O5 0.9628 0.3616 0.1557  0.14
O6 0.3616 0.9628 0.6557  0.14
Tl2 0.3333 0.6667 0.2500  0.01
O7 0.3988 0.0372 0.1557  0.14
Np1 0.3333 0.6667 0.7500  0.01
O8 0.9628 0.6012 0.3443  0.14
O9 0.3616 0.3988 0.8443  0.14
O10 0.0372 0.3988 0.6557  0.14
O11 0.3988 0.3616 0.3443  0.14
O12 0.6012 0.9628 0.8443  0.14
Np2 0.6667 0.3333 0.2500  0.01
Rb2 0.0000 0.0000 0.5000  0.00

Computed properties:
formation energy (no corrections): -1.572 eV/atom
symmetry: P-31c, No. 163

---

This record from the Alexandria database describes an optimized crystal structure of Co2TcRh. The functional is GGA-PBE.

Cell: 4.4771 4.4771 2.6229 Å, 90.00 90.00 108.06°
Each line ends with the local moment (μB).
Atoms (fractional coordinates):
Rh1 0.5000 0.0000 0.5000  0.15
Tc1 0.0000 0.5000 0.5000  0.01
Co1 0.5000 0.5000 0.0000  0.86
Co2 0.0000 0.0000 0.0000  0.86

Computed properties:
formation energy from the elements: 99 meV/atom
symmetry: Cmmm, No. 65

---

This record from the Alexandria database describes an optimized crystal structure of Hf3GaAs. The functional is GGA-PBE.

Cell: 4.9207 4.9207 4.9207 Å, 90.00 90.00 90.00°
Atoms (fractional coordinates):
Hf1 0.5000 0.0000 0.0000
Hf2 0.0000 0.0000 0.5000
Hf3 0.0000 0.5000 0.0000
As1 0.0000 0.0000 0.0000
Ga1 0.5000 0.5000 0.5000

Computed properties:
formation energy from the elements: 223 meV/atom
symmetry: Pm-3m, No. 221

---

This record from the Alexandria database describes an optimized crystal structure of ZrSi3Bi. The functional is GGA-PBE.

Cell: 5.1130 5.1130 5.1130 Å, 90.00 90.00 90.00°
Atoms (fractional coordinates):
Bi1 0.5000 0.5000 0.5000
Zr1 0.0000 0.0000 0.0000
Si1 0.5000 0.0000 0.0000
Si2 0.0000 0.5000 0.0000
Si3 0.0000 0.0000 0.5000

Computed properties:
formation energy (no corrections): 0.778 eV/atom
symmetry: Pm-3m, No. 221

---

This record from the Alexandria database describes an optimized crystal structure of Ac4In2Ag. The functional is GGA-PBE.

Cell: 4.1146 7.0276 10.1331 Å, 112.85 101.71 90.00°
Atoms (fractional coordinates):
In1 0.2587 0.1731 0.5173
Ag1 0.0000 0.0000 0.0000
Ac1 0.6374 0.2850 0.2749
Ac2 0.0914 0.7313 0.1828
Ac3 0.9086 0.2687 0.8172
In2 0.7413 0.8269 0.4827
Ac4 0.3626 0.7150 0.7251

Computed properties:
formation energy from the elements: -177 meV/atom
symmetry: C2/m, No. 12

---

This record from the Alexandria database describes an optimized crystal structure of RbDyAg2F6. The functional is GGA-PBE.

Cell: 6.3545 6.3511 6.6108 Å, 61.22 61.15 59.89°
Atoms (fractional coordinates):
F1 0.9540 0.5613 0.2368
Ag1 0.5305 0.5302 0.4085
F2 0.5640 0.2475 0.2336
Rb1 0.8060 0.8063 0.5808
F3 0.1609 0.3729 0.7830
F4 0.2485 0.9539 0.2345
Dy1 0.3179 0.3179 0.0463
Ag2 0.0240 0.0262 0.9255
F5 0.3712 0.6849 0.7840
F6 0.6846 0.1605 0.7822

Computed properties:
formation energy (no corrections): -2.579 eV/atom
symmetry: P1, No. 1

---

This record from the Alexandria database describes an optimized crystal structure of CrRu2W. The functional is GGA-PBE.

Cell: 4.6433 4.6433 2.7571 Å, 90.00 90.00 107.47°
Each line ends with the local moment (μB).
Atoms (fractional coordinates):
W1 0.5000 0.0000 0.5000  -0.06
Ru1 0.5000 0.5000 0.0000  -0.04
Ru2 0.0000 0.0000 0.0000  -0.04
Cr1 0.0000 0.5000 0.5000  1.03

Computed properties:
formation energy from the elements: 127 meV/atom
symmetry: Cmmm, No. 65

---

This record from the Alexandria database describes an optimized crystal structure of Tb9Pm2Mg. The functional is GGA-PBE.

Cell: 5.0166 5.0166 15.1162 Å, 90.00 90.00 90.00°
Atoms (fractional coordinates):
Tb1 0.0000 0.5000 0.8370
Pm1 0.0000 0.0000 0.3308
Tb2 0.5000 0.0000 0.1630
Tb3 0.0000 0.5000 0.1630
Tb4 0.5000 0.0000 0.8370
Tb5 0.5000 0.5000 0.0000
Mg1 0.0000 0.0000 0.0000
Pm2 0.0000 0.0000 0.6692
Tb6 0.5000 0.5000 0.6714
Tb7 0.5000 0.0000 0.5000
Tb8 0.5000 0.5000 0.3286
Tb9 0.0000 0.5000 0.5000

Computed properties:
formation energy from the elements: 21 meV/atom
symmetry: P4/mmm, No. 123

---

This record from the Alexandria database describes an optimized crystal structure of CaFeP2Ir. The functional is GGA-PBE.

Cell: 3.9448 3.9448 5.6623 Å, 110.39 110.39 90.00°
Atoms (fractional coordinates):
Ca1 0.0000 0.0000 0.0000
Ir1 0.2500 0.7500 0.5000
Fe1 0.7500 0.2500 0.5000
P1 0.6268 0.6268 0.2536
P2 0.3732 0.3732 0.7464

Computed properties:
formation energy from the elements: -804 meV/atom
symmetry: I-4m2, No. 119

---

This record from the Alexandria database describes an optimized crystal structure of CaErPt. The functional is GGA-PBE.

Cell: 5.4238 8.9334 8.9335 Å, 59.22 70.02 70.02°
Atoms (fractional coordinates):
Er1 0.7159 0.4012 0.6512
Pt1 0.8674 0.5284 0.2784
Ca1 0.8059 0.8400 0.5900
Er2 0.2841 0.0988 0.8488
Er3 0.7159 0.9012 0.1512
Pt2 0.8674 0.0284 0.7784
Ca2 0.8060 0.3400 0.0900
Pt3 0.1326 0.4716 0.7216
Ca3 0.1940 0.6600 0.9100
Pt4 0.1326 0.9716 0.2216
Ca4 0.1941 0.1600 0.4100
Er4 0.2841 0.5988 0.3488

Computed properties:
formation energy from the elements: -873 meV/atom
symmetry: P2_1/m, No. 11

---

This record from the Alexandria database describes an optimized crystal structure of CuWSe. The functional is GGA-PBE.

Cell: 3.1053 5.4756 6.5502 Å, 109.08 90.61 104.70°
Atoms (fractional coordinates):
Se1 0.1665 0.3345 0.1958
Cu1 0.9240 0.8411 0.2164
W1 0.3683 0.7569 0.5242
W2 0.6317 0.2431 0.4758
Se2 0.8335 0.6655 0.8042
Cu2 0.0760 0.1589 0.7836

Computed properties:
formation energy (no corrections): 0.101 eV/atom
symmetry: P-1, No. 2

---

Number 1: E -6.912 eV per atom, size of the total moment 0.0 μB per cell. Number 2: E -6.685 eV per atom, size of the total moment 2.1 μB per cell. Number 3: E -7.883 eV per atom, size of the total moment 1.8 μB per cell. Number 4: E -7.284 eV per atom, size of the total moment 0.0 μB per cell. Number 5: E -4.961 eV per atom, size of the total moment 0.0 μB per cell. Number 6: E -3.714 eV per atom, size of the total moment 0.0 μB per cell. Number 7: E -4.829 eV per atom, size of the total moment 0.0 μB per cell. Number 8: E -10.155 eV per atom, size of the total moment 1.0 μB per cell. Number 9: E -4.376 eV per atom, size of the total moment 0.0 μB per cell. Number 10: E -6.833 eV per atom, size of the total moment 0.0 μB per cell. Number 11: E -5.075 eV per atom, size of the total moment 0.0 μB per cell. Number 12: E -6.744 eV per atom, size of the total moment 0.0 μB per cell.